No. 1
FeIr3 (GGA-PBE, relaxed); space group = I4/mmm; ΔH_f (0 K) = -0.0621 eV per atom
1.0
-1.890 -3.156 2.884
-4.644 -0.014 -0.531
3.492 -0.301 -3.093
Ir Fe
3 1
Cartesian
-0.833 -2.521 0.484 Ir
-3.267 -1.585 1.177 Ir
-2.210 -0.950 -1.224 Ir
0.000 0.000 0.000 Fe

=====

No. 2
KFeIr (GGA-PBE, relaxed); space group = F-43m; excess energy over the best structure of this formula in the dataset = 0.000 eV per atom
1.0
-0.993 -4.055 -1.627
-0.538 -3.464 2.790
-4.077 -1.739 0.652
K Fe Ir
1 1 1
Cartesian
-4.207 -6.943 1.361 K
0.000 0.000 0.000 Fe
-1.402 -2.314 0.454 Ir

=====

No. 3
K2FeP2Ir (GGA-PBE, relaxed); space group = P-4m2
1.0
-1.372 2.612 -2.522
-2.392 -2.679 -1.472
-7.004 2.651 6.556
K Fe Ir P
2 1 1 2
Cartesian
-3.336 -0.529 1.267 K
-5.550 3.147 3.292 K
0.000 0.000 0.000 Fe
-1.882 -0.034 -1.997 Ir
-7.340 0.986 5.015 P
-1.546 1.631 -0.456 P

=====

No. 4
LaFeSn2Ir (GGA-PBE, relaxed); space group = P4/nmm
1.0
-3.514 -0.881 2.681
-0.546 -3.989 -2.027
6.502 -4.473 7.053
Ir La Sn Fe
2 2 4 2
Cartesian
0.000 0.000 0.000 Ir
-2.030 -2.435 0.327 Ir
-0.163 -1.537 3.069 La
4.636 -5.371 4.311 La
3.251 -2.236 3.527 Sn
0.621 -2.610 -0.043 Sn
3.851 -4.298 7.424 Sn
1.221 -4.671 3.854 Sn
2.174 -3.677 1.641 Fe
2.298 -3.231 5.740 Fe

=====

No. 5
LuFeIr2 (GGA-PBE, relaxed); space group = F-43m; ΔH_f (0 K) = -0.1090 eV per atom
1.0
3.225 -3.141 0.009
1.993 -1.169 3.864
-0.800 -4.042 1.813
Lu Ir Fe
1 2 1
Cartesian
2.209 -4.176 2.842 Lu
3.314 -6.264 4.264 Ir
0.000 0.000 0.000 Ir
1.105 -2.088 1.421 Fe

=====

No. 6
LuFeIr (GGA-PBE, relaxed); space group = F-43m; ΔH_f (0 K) = -0.1105 eV per atom
1.0
0.692 -3.108 3.058
-0.805 0.870 4.253
-3.428 -1.900 2.032
Ir Lu Fe
1 1 1
Cartesian
0.000 0.000 0.000 Ir
-2.656 -3.104 7.007 Lu
-0.885 -1.035 2.336 Fe

=====

No. 7
LuFeIr (GGA-PBE, relaxed); space group = F-43m; ΔH_f (0 K) = 0.5696 eV per atom
1.0
0.000 3.115 3.115
3.115 0.000 3.115
3.115 3.115 0.000
Lu Fe Ir
1 1 1
Cartesian
0.000 0.000 0.000 Lu
1.558 1.558 1.558 Fe
4.673 4.673 4.673 Ir

=====

No. 8
LuFeIr2 (GGA-PBE, relaxed); space group = F-43m; ΔH_f (0 K) = -0.1090 eV per atom
1.0
-0.831 -3.762 -2.329
1.504 -3.963 1.514
-2.902 -3.045 1.603
Ir Lu Fe
2 1 1
Cartesian
-1.671 -8.077 0.591 Ir
0.000 0.000 0.000 Ir
-0.557 -2.692 0.197 Lu
-1.114 -5.385 0.394 Fe

=====

No. 9
LuFeSiIr (GGA-PBE, relaxed); space group = F-43m; excess energy over the best structure of this formula in the dataset = 0.339 eV per atom
1.0
0.000 3.191 3.191
3.191 0.000 3.191
3.191 3.191 0.000
Lu Ir Si Fe
1 1 1 1
Cartesian
1.596 1.596 1.596 Lu
3.191 3.191 3.191 Ir
0.000 0.000 0.000 Si
4.787 4.787 4.787 Fe

=====

No. 10
LuFeSiIr (GGA-PBE, relaxed); space group = F-43m; excess energy over the best structure of this formula in the dataset = 0.000 eV per atom
1.0
2.602 1.714 3.053
-1.609 0.991 3.932
1.134 -2.371 3.482
Si Ir Fe Lu
1 1 1 1
Cartesian
0.000 0.000 0.000 Si
0.532 0.084 2.617 Ir
1.595 0.251 7.850 Fe
1.063 0.167 5.233 Lu

=====

No. 11
LuTlFeIr (GGA-PBE, relaxed); space group = F-43m; excess energy over the best structure of this formula in the dataset = 0.000 eV per atom
1.0
0.000 3.311 3.311
3.311 0.000 3.311
3.311 3.311 0.000
Fe Lu Ir Tl
1 1 1 1
Cartesian
4.966 4.966 4.966 Fe
3.311 3.311 3.311 Lu
1.655 1.655 1.655 Ir
0.000 0.000 0.000 Tl

=====

No. 12
LuTlFeIr (GGA-PBE, relaxed); space group = F-43m; excess energy over the best structure of this formula in the dataset = 0.075 eV per atom
1.0
0.000 3.343 3.343
3.343 0.000 3.343
3.343 3.343 0.000
Lu Tl Fe Ir
1 1 1 1
Cartesian
1.672 1.672 1.672 Lu
0.000 0.000 0.000 Tl
5.015 5.015 5.015 Fe
3.343 3.343 3.343 Ir

=====

| no. | DFT total energy (eV/atom) |
| --- | --- |
| 1 | -8.780 |
| 2 | -4.778 |
| 3 | -5.542 |
| 4 | -6.362 |
| 5 | -7.745 |
| 6 | -7.340 |
| 7 | -6.660 |
| 8 | -7.745 |
| 9 | -6.898 |
| 10 | -7.238 |
| 11 | -6.012 |
| 12 | -5.937 |